[1]
{"formula": "LiCaBr2", "functional": "meta-GGA SCAN", "state": "PBEsol geometry", "m_tot_mub_per_atom": 0.24, "space_group": "Pm", "relative_energy_mev_per_atom": 0, "raw_formation_energy_ev_per_atom": -1.49, "final_energy_ev_per_atom": -14.236, "lattice": [[-2.137, -2.054, 2.733], [4.339, -3.942, 0.431], [0.123, 4.519, 3.492]], "species": ["Br", "Br", "Li", "Ca"], "fractional_positions": [[0.000, 0.888, 0.939], [0.500, 0.571, 0.284], [0.500, 0.578, 0.802], [0.000, 0.963, 0.475]]}

=====

[2]
{"formula": "Li3CaBr", "functional": "meta-GGA SCAN", "state": "PBEsol geometry", "m_tot_mub_per_atom": 0.00, "space_group": "Pm-3m", "raw_formation_energy_ev_per_atom": -0.36, "final_energy_ev_per_atom": -7.621, "lattice": [[-4.780, -1.724, -0.741], [0.894, -0.308, -5.047], [1.650, -4.827, 0.586]], "species": ["Li", "Li", "Li", "Br", "Ca"], "fractional_positions": [[0.000, 0.500, 0.000], [0.500, 0.000, 0.000], [0.000, 0.000, 0.500], [0.000, 0.000, 0.000], [0.500, 0.500, 0.500]]}

=====

[3]
{"formula": "Li2CaBr", "functional": "meta-GGA SCAN", "state": "PBEsol geometry", "m_tot_mub_per_atom": 0.09, "space_group": "P4/mmm", "relative_energy_mev_per_atom": 57, "raw_formation_energy_ev_per_atom": -0.60, "final_energy_ev_per_atom": -9.079, "lattice": [[3.463, 0.000, 0.000], [0.000, 3.463, 0.000], [0.000, 0.000, 8.655]], "species": ["Li", "Li", "Ca", "Br"], "fractional_positions": [[0.000, 0.000, 0.821], [0.000, 0.000, 0.179], [0.500, 0.500, 0.500], [0.500, 0.500, 0.000]]}

=====

[4]
{"formula": "LiCaBr2", "functional": "meta-GGA SCAN", "state": "PBEsol geometry", "m_tot_mub_per_atom": 0.23, "space_group": "Immm", "relative_energy_mev_per_atom": 129, "raw_formation_energy_ev_per_atom": -1.36, "final_energy_ev_per_atom": -14.108, "lattice": [[-3.153, 2.017, 0.892], [-2.922, -2.590, 3.824], [0.584, 2.433, 4.859]], "species": ["Li", "Br", "Br", "Ca"], "fractional_positions": [[0.000, 0.500, 0.500], [0.282, 0.718, 0.718], [0.718, 0.282, 0.282], [0.500, 0.000, 0.000]]}

=====

[5]
{"formula": "LiCaSi2Br", "functional": "meta-GGA SCAN", "state": "PBEsol geometry", "m_tot_mub_per_atom": 0.43, "space_group": "P4/mmm", "raw_formation_energy_ev_per_atom": 0.58, "final_energy_ev_per_atom": -9.730, "lattice": [[-1.506, 1.133, -5.127], [-5.225, 0.116, 1.561], [0.433, 5.334, 1.052]], "species": ["Li", "Br", "Ca", "Si", "Si"], "fractional_positions": [[0.500, 0.500, 0.500], [0.500, 0.000, 0.000], [0.000, 0.000, 0.000], [0.000, 0.000, 0.500], [0.000, 0.500, 0.000]]}

=====

[6]
{"formula": "Ca2MgBr", "functional": "meta-GGA SCAN", "state": "PBEsol geometry", "m_tot_mub_per_atom": 0.00, "space_group": "I4/mmm", "relative_energy_mev_per_atom": 362, "raw_formation_energy_ev_per_atom": -0.39, "final_energy_ev_per_atom": -11.331, "lattice": [[5.090, 0.000, 0.000], [0.000, 5.090, 0.000], [-2.545, -2.545, 4.662]], "species": ["Mg", "Ca", "Ca", "Br"], "fractional_positions": [[0.500, 0.500, 0.000], [0.750, 0.250, 0.500], [0.250, 0.750, 0.500], [0.000, 0.000, 0.000]]}

=====

[7]
{"formula": "Ca2MgBr", "functional": "meta-GGA SCAN", "state": "PBEsol geometry", "m_tot_mub_per_atom": 0.02, "space_group": "P2/m", "relative_energy_mev_per_atom": 0, "raw_formation_energy_ev_per_atom": -0.75, "final_energy_ev_per_atom": -11.693, "lattice": [[-0.827, 1.400, 3.356], [-3.919, -0.017, -0.959], [-0.750, -8.010, 3.156]], "species": ["Ca", "Ca", "Br", "Mg"], "fractional_positions": [[0.000, 0.501, 0.268], [0.000, 0.499, 0.732], [0.500, 0.500, 0.000], [0.500, 0.000, 0.500]]}

=====

[8]
{"formula": "CaMg3Br", "functional": "meta-GGA SCAN", "state": "PBEsol geometry", "m_tot_mub_per_atom": 0.00, "space_group": "Pm-3m", "raw_formation_energy_ev_per_atom": 0.14, "final_energy_ev_per_atom": -8.671, "lattice": [[5.394, 0.000, 0.000], [0.000, 5.394, 0.000], [0.000, 0.000, 5.394]], "species": ["Ca", "Br", "Mg", "Mg", "Mg"], "fractional_positions": [[0.500, 0.500, 0.500], [0.000, 0.000, 0.000], [0.000, 0.500, 0.000], [0.000, 0.000, 0.500], [0.500, 0.000, 0.000]]}

=====

[9]
{"formula": "Ca2MgBr", "functional": "meta-GGA SCAN", "state": "PBEsol geometry", "m_tot_mub_per_atom": 0.00, "space_group": "F-43m", "relative_energy_mev_per_atom": 710, "raw_formation_energy_ev_per_atom": -0.04, "final_energy_ev_per_atom": -10.983, "lattice": [[5.716, 0.000, 0.000], [2.858, 4.950, 0.000], [2.858, 1.650, 4.667]], "species": ["Mg", "Ca", "Ca", "Br"], "fractional_positions": [[0.250, 0.250, 0.250], [0.000, 0.000, 0.000], [0.750, 0.750, 0.750], [0.500, 0.500, 0.500]]}

=====

[10]
{"formula": "SrCa2MgBr", "functional": "meta-GGA SCAN", "state": "PBEsol geometry", "m_tot_mub_per_atom": 0.02, "space_group": "P4/mmm", "raw_formation_energy_ev_per_atom": 0.04, "final_energy_ev_per_atom": -13.170, "lattice": [[5.527, 0.000, 0.000], [0.000, 6.283, 0.000], [0.000, 0.000, 6.283]], "species": ["Sr", "Ca", "Ca", "Mg", "Br"], "fractional_positions": [[0.500, 0.500, 0.500], [0.000, 0.500, 0.000], [0.000, 0.000, 0.500], [0.000, 0.000, 0.000], [0.500, 0.000, 0.000]]}

=====

[11]
{"formula": "CaMn2Br", "functional": "meta-GGA SCAN", "state": "PBEsol geometry", "m_tot_mub_per_atom": 1.97, "space_group": "Pmmm", "relative_energy_mev_per_atom": 376, "raw_formation_energy_ev_per_atom": 0.07, "final_energy_ev_per_atom": -16.333, "lattice": [[-3.008, 1.354, -1.563], [1.374, -1.254, -3.731], [-2.573, -4.907, 0.701]], "species": ["Mn", "Mn", "Br", "Ca"], "fractional_positions": [[0.000, 0.000, 0.743], [0.000, 0.000, 0.257], [0.500, 0.500, 0.000], [0.500, 0.500, 0.500]]}

=====

[12]
{"formula": "CaMnBr3", "functional": "meta-GGA SCAN", "state": "PBEsol geometry", "m_tot_mub_per_atom": 0.89, "space_group": "Pm-3m", "raw_formation_energy_ev_per_atom": -1.06, "final_energy_ev_per_atom": -18.321, "lattice": [[-3.245, 2.793, 2.812], [-2.272, -4.289, 1.637], [3.247, -0.210, 3.956]], "species": ["Br", "Br", "Br", "Mn", "Ca"], "fractional_positions": [[0.000, 0.000, 0.500], [0.500, 0.000, 0.000], [0.000, 0.500, 0.000], [0.000, 0.000, 0.000], [0.500, 0.500, 0.500]]}

=====

[13]
{"formula": "CaMnBr2", "functional": "meta-GGA SCAN", "state": "PBEsol geometry", "m_tot_mub_per_atom": 1.25, "space_group": "I4/mmm", "relative_energy_mev_per_atom": 0, "raw_formation_energy_ev_per_atom": -0.78, "final_energy_ev_per_atom": -17.492, "lattice": [[5.072, 0.000, 0.000], [-2.536, 4.384, 0.175], [0.000, 2.764, 4.253]], "species": ["Br", "Br", "Ca", "Mn"], "fractional_positions": [[0.750, 0.500, 0.750], [0.250, 0.500, 0.250], [0.500, 0.000, 0.500], [0.000, 0.000, 0.000]]}

=====

[14]
{"formula": "Ca2MnBr", "functional": "meta-GGA SCAN", "state": "PBEsol geometry", "m_tot_mub_per_atom": 1.01, "space_group": "P4/mmm", "relative_energy_mev_per_atom": 47, "raw_formation_energy_ev_per_atom": -0.42, "final_energy_ev_per_atom": -14.676, "lattice": [[-1.273, -3.006, 1.119], [3.127, -2.654, -3.574], [3.974, -0.304, 3.703]], "species": ["Ca", "Ca", "Br", "Mn"], "fractional_positions": [[0.000, 0.000, 0.500], [0.000, 0.500, 0.000], [0.500, 0.000, 0.000], [0.500, 0.500, 0.500]]}

=====

[15]
{"formula": "CaMn2Br", "functional": "meta-GGA SCAN", "state": "PBEsol geometry", "m_tot_mub_per_atom": 2.07, "space_group": "Amm2", "relative_energy_mev_per_atom": 0, "raw_formation_energy_ev_per_atom": -0.30, "final_energy_ev_per_atom": -16.709, "lattice": [[-0.645, -2.039, 2.652], [3.380, 0.400, 1.129], [-3.609, 5.330, 3.221]], "species": ["Br", "Mn", "Mn", "Ca"], "fractional_positions": [[0.000, 0.308, 0.615], [0.000, 0.047, 0.093], [0.500, 0.474, 0.949], [0.500, 0.690, 0.380]]}